[1]
VASP calculation (PBE) on a relaxed structure of Ce3PuTl2.

a b c (Å): 11.5433 8.3998 6.8554
angles (deg): 90.00 90.00 90.00
Closest atoms and distances in Å follow each position.
Space group Cmcm (No. 63)
Symmetry-distinct sites (fractional):
Ce (0.0000, 0.2053, 0.2500) (multiplicity 4)  1 Pu 2.42
Ce (0.1625, 0.5000, 0.0000) (multiplicity 8)  2 Pu 2.54
Pu (0.0000, 0.4930, 0.2500) (multiplicity 4)  5 Ce 2.42-2.54
Tl (0.1309, 0.1609, 0.7500) (multiplicity 8)  1 Tl 3.02, 4 Ce 3.23-3.34, 1 Pu 3.28

Output
- V (Å³ per atom) = 27.696
- E above lowest polymorph (meV per atom) = 0.0
- ΔE_f (meV per atom) = -95



[2]
VASP calculation (PBE) on a relaxed structure of Cd2MoPb.

a b c (Å): 4.1233 4.1233 9.9802
angles (deg): 90.00 90.00 90.00
Closest atoms and distances in Å follow each position.
Space group I4/mmm (No. 139)
Symmetry-distinct sites (fractional):
Cd (0.0000, 0.5000, 0.2500) (multiplicity 4)  4 Cd 2.92, 4 Pb 3.24, 4 Mo 3.24
Mo (0.0000, 0.0000, 0.0000) (multiplicity 2)  4 Pb 2.92, 8 Cd 3.24
Pb (0.0000, 0.0000, 0.5000) (multiplicity 2)  4 Mo 2.92, 8 Cd 3.24

Output
- V (Å³ per atom) = 21.210
- ΔE_f (meV per atom) = 493



[3]
VASP calculation (PBE) on a relaxed structure of Y2TlW.

a b c (Å): 3.3530 3.3530 31.2774
angles (deg): 90.00 90.00 120.00
Closest atoms and distances in Å follow each position.
Space group R3m (No. 160, hexagonal axes)
Symmetry-distinct sites (fractional):
Y (0.0000, 0.0000, 0.0000) (multiplicity 3)  3 Tl 3.30, 6 Y 3.35
Y (0.0000, 0.0000, 0.2315) (multiplicity 3)  3 W 3.00, 6 Y 3.35
Tl (0.0000, 0.0000, 0.7523) (multiplicity 3)  3 W 2.98, 3 Y 3.30
W (0.0000, 0.0000, 0.4915) (multiplicity 3)  3 Tl 2.98, 3 Y 3.00

Output
- V (Å³ per atom) = 25.377
- E above lowest polymorph (meV per atom) = 376.8
- ΔE_f (meV per atom) = 581